Compound: Ho9ErTh2
Source: Alexandria via LeMat-Bulk
Functional: GGA-PBE
Structure: relaxed

Cell: 5.0012 5.0012 14.9444 Å, 90.00 90.00 90.00°
Last column: nearest neighbours and their distance in Å.
Space group P4/mmm (No. 123)
Asymmetric unit:
1 Ho 0.0000 0.0000 0.0000 (multiplicity 1)  4 Er 3.54, 8 Ho 3.54
2 Ho 0.0000 0.0000 0.3325 (multiplicity 2)  8 Ho 3.51-3.54, 4 Th 3.54
3 Ho 0.0000 0.5000 0.1675 (multiplicity 4)  8 Ho 3.51-3.54, 2 Th 3.53, 2 Er 3.54
4 Ho 0.0000 0.5000 0.5000 (multiplicity 2)  4 Th 3.52, 8 Ho 3.54
5 Er 0.5000 0.5000 0.0000 (multiplicity 1)  12 Ho 3.54
6 Th 0.5000 0.5000 0.3343 (multiplicity 2)  12 Ho 3.52-3.54

Energy of formation from the pure elements in meV per atom: 34
Size of the total moment in μB per formula unit: 0.00